Entry 1:
Below is a geometry-optimized Sc4Co4Ge7 structure, with properties calculated at the GGA-PBE level.

Cell lengths 9.725, 9.725, 9.725 Å; angles 94.15, 94.15, 148.78 degrees
Sites, in units of the cell vectors:
Ge: 0.500 0.906 0.406
Sc: 0.500 0.304 0.804
Ge: 0.250 0.250 0.000
Co: 0.102 0.602 0.204
Ge: 0.293 0.293 0.586
Ge: 0.906 0.500 0.406
Ge: 0.750 0.750 0.000
Ge: 0.707 0.707 0.414
Ge: 0.094 0.500 0.594
Sc: 0.140 0.140 0.279
Co: 0.602 0.102 0.204
Sc: 0.304 0.500 0.804
Ge: 0.000 0.709 0.709
Co: 0.602 0.398 0.500
Co: 0.898 0.102 0.500
Ge: 0.500 0.094 0.594
Ge: 0.709 0.000 0.709
Sc: 0.500 0.696 0.196
Sc: 0.696 0.500 0.196
Co: 0.898 0.398 0.796
Ge: 0.293 0.707 0.000
Ge: 0.000 0.291 0.291
Ge: 0.291 0.000 0.291
Co: 0.398 0.898 0.796
Sc: 0.140 0.860 0.000
Ge: 0.707 0.293 0.000
Sc: 0.860 0.140 0.000
Co: 0.102 0.898 0.500
Co: 0.398 0.602 0.500
Sc: 0.860 0.860 0.721

Output
total energy	-6.37	eV/atom

---

Entry 2:
Below is a geometry-optimized Li6NiAg structure, with properties calculated at the GGA-PBE level.

Cell lengths 4.323, 4.323, 6.145 Å; angles 90.00, 90.00, 90.00 degrees
Sites, in units of the cell vectors:
Li: 0.500 0.500 0.500
Ni: 0.500 0.500 0.000
Li: 0.000 0.000 0.000
Li: 0.000 0.500 0.234
Li: 0.500 0.000 0.766
Li: 0.000 0.500 0.766
Li: 0.500 0.000 0.234
Ag: 0.000 0.000 0.500

Output
total energy	-2.51	eV/atom